This record from Alexandria via LeMat-Bulk describes an optimized crystal structure of NaLaCu3. The functional is GGA-PBEsol.

abc: 5.2761 5.2761 5.2761
angles: 90.00 90.00 90.00
Last column: nearest neighbours and their distance in Å.
Sites, in units of the cell vectors:
Na: 0.0000 0.0000 0.0000  12 Cu 3.73
La: 0.5000 0.5000 0.5000  6 Cu 2.64
Cu: 0.0000 0.5000 0.5000  2 La 2.64
Cu: 0.5000 0.0000 0.5000  2 La 2.64
Cu: 0.5000 0.5000 0.0000  2 La 2.64

- Energy: -2.9890 eV per atom
- Space group: Pm-3m